A plane-wave DFT calculation with PBE was carried out for crystalline La12SmY6 at its relaxed geometry.

extended XYZ file:
```
19
Lattice="8.0100 4.6246 3.0189 -8.0100 4.6246 3.0189 0.0000 -9.2492 3.0189" Properties=species:S:1:pos:R:3 pbc="T T T"
La -4.2177 -0.4884 3.0219
La -0.4244 -5.6026 3.0171
La -4.6398 3.1689 3.0171
La -5.0642 -2.4338 6.0397
La 2.5318 -3.4084 3.0219
La -1.6859 -3.8968 6.0349
La 1.6859 3.8968 3.0219
La -2.5318 3.4084 6.0349
La 5.0642 2.4337 3.0171
La 4.6398 -3.1689 6.0397
La 0.4244 5.6026 6.0397
La 4.2176 0.4884 6.0349
Sm 0.0000 0.0000 0.0000
Y -0.8316 -1.9052 3.0356
Y -1.2342 1.6728 3.0356
Y 2.0658 0.2325 3.0356
Y -2.0658 -0.2324 6.0212
Y 1.2342 -1.6728 6.0212
Y 0.8316 1.9052 6.0212
```

## Properties
Electronic total energy (eV per atom): -5.3821
Energy of formation (eV/f.u.): 0.37
Magnetic moment (μB per cell): 0.000
Symmetry: R-3, No. 148
Mass density (g/cm3): 5.8